No. 1
MgZn2As: relaxed, PBE-GGA.

POSCAR file:
```
MgZn2As
1.0
2.969 0.000 0.000
0.000 2.969 0.000
0.000 0.000 8.248
Mg Zn As
1 2 1
direct
0.000 0.000 0.000
0.500 0.500 0.250
0.500 0.500 0.750
0.000 0.000 0.500
```

Size of the total moment   0.00 μB per atom
Space-group type   No. 123
Theoretical density   5.3 Mg/m³
DFT formation energy   0.098 eV/atom
VASP energy   -2.10 eV per atom

***

No. 2
Mg2ZrAs: relaxed, PBE-GGA.

POSCAR file:
```
Mg2ZrAs
1.0
3.702 0.000 0.000
0.000 3.731 0.000
-1.790 0.000 6.181
Mg Zr As
2 1 1
direct
0.000 0.000 0.000
0.380 0.500 0.756
0.642 0.500 0.290
0.213 0.000 0.436
```

Size of the total moment   0.00 μB per atom
Space-group type   No. 6
Theoretical density   4.2 Mg/m³
DFT formation energy   -0.412 eV/atom
VASP energy   -4.51 eV per atom

***

No. 3
Mg2ZrAs: relaxed, PBE-GGA.

POSCAR file:
```
Mg2ZrAs
1.0
6.905 0.000 0.000
0.000 6.905 0.000
0.000 0.000 6.905
Mg Zr As
8 4 4
direct
0.000 0.000 0.000
0.000 0.500 0.500
0.250 0.250 0.250
0.250 0.750 0.750
0.500 0.000 0.500
0.500 0.500 0.000
0.750 0.250 0.750
0.750 0.750 0.250
0.000 0.000 0.500
0.000 0.500 0.000
0.500 0.000 0.000
0.500 0.500 0.500
0.250 0.250 0.750
0.250 0.750 0.250
0.750 0.250 0.250
0.750 0.750 0.750
```

Size of the total moment   0.00 μB per atom
Space-group type   No. 216
Theoretical density   4.3 Mg/m³
DFT formation energy   -0.012 eV/atom
VASP energy   -4.11 eV per atom

***

No. 4
MgZr3As: relaxed, PBE-GGA.

POSCAR file:
```
MgZr3As
1.0
5.046 0.000 0.000
0.000 5.046 0.000
0.000 0.000 5.046
Mg Zr As
1 3 1
direct
0.000 0.000 0.000
0.000 0.500 0.500
0.500 0.000 0.500
0.500 0.500 0.000
0.500 0.500 0.500
```

Size of the total moment   0.00 μB per atom
Space-group type   No. 221
Theoretical density   4.8 Mg/m³
DFT formation energy   -0.049 eV/atom
VASP energy   -6.43 eV per atom

***

No. 5
MgZr2As: relaxed, PBE-GGA.

POSCAR file:
```
MgZr2As
1.0
3.680 0.000 0.000
-1.840 3.187 0.000
0.000 0.000 23.923
Mg Zr As
3 6 3
direct
0.000 0.000 0.000
0.333 0.667 0.667
0.667 0.333 0.333
0.000 0.000 0.232
0.000 0.000 0.435
0.333 0.667 0.101
0.333 0.667 0.899
0.667 0.333 0.565
0.667 0.333 0.768
0.000 0.000 0.833
0.333 0.667 0.499
0.667 0.333 0.166
```

Size of the total moment   0.00 μB per atom
Space-group type   No. 160
Theoretical density   5.0 Mg/m³
DFT formation energy   -0.388 eV/atom
VASP energy   -6.22 eV per atom

***

No. 6
MgZrAs2: relaxed, PBE-GGA.

POSCAR file:
```
MgZrAs2
1.0
3.961 0.000 0.000
0.000 4.439 0.000
0.000 0.000 10.267
Mg Zr As
2 2 4
direct
0.000 0.000 0.000
0.500 0.500 0.000
0.000 0.500 0.747
0.500 0.000 0.747
0.000 0.000 0.546
0.000 0.500 0.187
0.500 0.000 0.187
0.500 0.500 0.546
```

Size of the total moment   0.00 μB per atom
Space-group type   No. 35
Theoretical density   4.9 Mg/m³
DFT formation energy   -0.145 eV/atom
VASP energy   -5.01 eV per atom

***

No. 7
MgZrAs2: relaxed, PBE-GGA.

POSCAR file:
```
MgZrAs2
1.0
4.654 0.000 0.000
0.000 4.654 0.000
0.000 0.000 3.532
Mg Zr As
1 1 2
direct
0.000 0.000 0.000
0.500 0.500 0.000
0.000 0.500 0.500
0.500 0.000 0.500
```

Size of the total moment   0.00 μB per atom
Space-group type   No. 123
Theoretical density   5.8 Mg/m³
DFT formation energy   -0.538 eV/atom
VASP energy   -5.40 eV per atom

***

No. 8
MgZrAs2: relaxed, PBE-GGA.

POSCAR file:
```
MgZrAs2
1.0
4.132 0.000 0.000
0.000 5.317 0.000
0.000 0.000 7.211
Mg Zr As
2 2 4
direct
0.000 0.000 0.000
0.500 0.500 0.500
0.000 0.000 0.500
0.500 0.500 0.000
0.000 0.500 0.259
0.000 0.500 0.741
0.500 0.000 0.241
0.500 0.000 0.759
```

Size of the total moment   0.00 μB per atom
Space-group type   No. 71
Theoretical density   5.6 Mg/m³
DFT formation energy   -0.465 eV/atom
VASP energy   -5.33 eV per atom

***

Question: The highest theoretical density belongs to which entry?
Answer: number 7

***

What did the second record say?
Mg2ZrAs: relaxed, PBE-GGA.

POSCAR file:
```
Mg2ZrAs
1.0
3.702 0.000 0.000
0.000 3.731 0.000
-1.790 0.000 6.181
Mg Zr As
2 1 1
direct
0.000 0.000 0.000
0.380 0.500 0.756
0.642 0.500 0.290
0.213 0.000 0.436
```

Size of the total moment   0.00 μB per atom
Space-group type   No. 6
Theoretical density   4.2 Mg/m³
DFT formation energy   -0.412 eV/atom
VASP energy   -4.51 eV per atom

***

Question: Among the records above, which one has the lowest VASP energy?
Answer: MgZr3As